Record 1
A plane-wave DFT calculation with PBE was carried out for a geometry-optimized AcDy2In structure.

a = 5.0064 Å, b = 5.0405 Å, c = 5.0405 Å
α = 90.00°, β = 90.00°, γ = 90.00°
Each line ends with the local moment (μB).
Sites, in units of the cell vectors:
1 Dy 0.0000 0.0000 0.5000  0.16
2 In 0.5000 0.0000 0.0000  0.00
3 Dy 0.0000 0.5000 0.0000  0.16
4 Ac 0.5000 0.5000 0.5000  0.07

As for the symmetry: P4/mmm. The value obtained for the relative energy among the computed polymorphs is 34 meV per atom. The magnetic moment is 0.586 Bohr magnetons per cell. As for the formation energy: -176 meV/atom.

***

Record 2
A plane-wave DFT calculation with PBE was carried out for a geometry-optimized Ac2DyIn3 structure.

a = 3.9648 Å, b = 3.9648 Å, c = 12.1275 Å
α = 90.00°, β = 90.00°, γ = 90.00°
Sites, in units of the cell vectors:
1 Dy 0.5000 0.5000 0.5000
2 In 0.0000 0.0000 0.0000
3 In 0.0000 0.0000 0.6397
4 Ac 0.5000 0.5000 0.1772
5 Ac 0.5000 0.5000 0.8228
6 In 0.0000 0.0000 0.3603

As for the symmetry: P4/mmm. The magnetic moment is 0.000 Bohr magnetons per cell. As for the formation energy: -433 meV/atom.

***

Record 3
A plane-wave DFT calculation with PBE was carried out for a geometry-optimized Ac3DyIn2 structure.

a = 9.5404 Å, b = 9.5404 Å, c = 9.5404 Å
α = 150.04°, β = 148.90°, γ = 43.72°
Sites, in units of the cell vectors:
1 Ac 0.5000 0.5000 0.0000
2 Dy 0.0000 0.0000 0.0000
3 In 0.1303 0.6303 0.5000
4 Ac 0.3223 0.8223 0.5000
5 In 0.8697 0.3697 0.5000
6 Ac 0.6777 0.1777 0.5000

As for the symmetry: Immm. The magnetic moment is 0.000 Bohr magnetons per cell. As for the formation energy: -262 meV/atom.

***

Record 4
A plane-wave DFT calculation with PBE was carried out for a geometry-optimized AcDy2In structure.

a = 5.6033 Å, b = 5.6033 Å, c = 5.6033 Å
α = 60.00°, β = 60.00°, γ = 60.00°
Each line ends with the local moment (μB).
Sites, in units of the cell vectors:
1 In 0.5000 0.5000 0.5000  0.01
2 Ac 0.0000 0.0000 0.0000  0.10
3 Dy 0.2500 0.2500 0.2500  0.16
4 Dy 0.7500 0.7500 0.7500  0.16

As for the symmetry: Fm-3m. The value obtained for the relative energy among the computed polymorphs is 180 meV per atom. The magnetic moment is 0.699 Bohr magnetons per cell. As for the formation energy: -30 meV/atom.

***

Record 5
A plane-wave DFT calculation with PBE was carried out for a geometry-optimized AcDy5In3 structure.

a = 6.8624 Å, b = 9.4827 Å, c = 9.4820 Å
α = 120.00°, β = 90.00°, γ = 90.00°
Each line ends with the local moment (μB).
Sites, in units of the cell vectors:
1 Dy 0.0000 0.3333 0.6666  0.08
2 In 0.2500 0.0000 0.3417  0.00
3 In 0.7500 0.3417 0.3417  0.00
4 Dy 0.5000 0.3333 0.6666  0.08
5 Ac 0.0000 0.0000 0.0000  0.09
6 In 0.2500 0.6583 0.6583  0.00
7 Ac 0.5000 0.0000 0.0000  0.09
8 In 0.2500 0.3417 0.0000  0.00
9 Dy 0.2500 0.0000 0.6657  0.09
10 Dy 0.5000 0.6667 0.3334  0.08
11 In 0.7500 0.6583 0.0000  0.00
12 Dy 0.7500 0.3343 0.0000  0.09
13 Dy 0.7500 0.0000 0.3343  0.09
14 Dy 0.2500 0.3344 0.3343  0.09
15 Dy 0.2500 0.6657 0.0000  0.09
16 Dy 0.0000 0.6667 0.3334  0.08
17 Dy 0.7500 0.6656 0.6657  0.09
18 In 0.7500 0.0000 0.6583  0.00

As for the symmetry: P6_3/mcm. The magnetic moment is 1.521 Bohr magnetons per cell. As for the formation energy: -307 meV/atom.

***

Record 6
A plane-wave DFT calculation with PBE was carried out for a geometry-optimized Ac2Dy3In4 structure.

a = 7.2058 Å, b = 9.2117 Å, c = 9.4106 Å
α = 90.00°, β = 112.51°, γ = 90.00°
Sites, in units of the cell vectors:
1 Ac 0.3898 0.0793 0.7796
2 In 0.1822 0.9616 0.3643
3 In 0.3178 0.4616 0.6357
4 Dy 0.9691 0.2500 0.4381
5 Dy 0.0309 0.7500 0.5619
6 Dy 0.5309 0.7500 0.5619
7 In 0.6822 0.5384 0.3643
8 Ac 0.8898 0.4207 0.7796
9 Ac 0.6102 0.9207 0.2204
10 In 0.8178 0.0384 0.6357
11 Dy 0.4691 0.2500 0.4381
12 Ac 0.1102 0.5793 0.2204
13 In 0.7077 0.7500 0.9154
14 Dy 0.0000 0.0000 0.0000
15 In 0.2077 0.7500 0.9154
16 In 0.7923 0.2500 0.0846
17 In 0.2923 0.2500 0.0846
18 Dy 0.5000 0.5000 0.0000

As for the symmetry: Cmce. The value obtained for the relative energy among the computed polymorphs is 102 meV per atom. The magnetic moment is 0.000 Bohr magnetons per cell. As for the formation energy: -335 meV/atom.

***

Record 7
A plane-wave DFT calculation with PBE was carried out for a geometry-optimized Ac3DyIn4 structure.

a = 3.9730 Å, b = 3.9730 Å, c = 16.4700 Å
α = 90.00°, β = 90.00°, γ = 90.00°
Sites, in units of the cell vectors:
1 In 0.0000 0.0000 0.1028
2 In 0.0000 0.0000 0.8972
3 Dy 0.5000 0.5000 0.0000
4 Ac 0.5000 0.5000 0.2369
5 In 0.0000 0.0000 0.3677
6 Ac 0.5000 0.5000 0.5000
7 Ac 0.5000 0.5000 0.7631
8 In 0.0000 0.0000 0.6323

As for the symmetry: P4/mmm. The magnetic moment is 0.000 Bohr magnetons per cell. As for the formation energy: -430 meV/atom.

***

Record 8
A plane-wave DFT calculation with PBE was carried out for a geometry-optimized AcDy2In structure.

a = 3.7136 Å, b = 3.7136 Å, c = 9.2799 Å
α = 90.00°, β = 90.00°, γ = 90.00°
Sites, in units of the cell vectors:
1 Dy 0.0000 0.0000 0.7873
2 In 0.5000 0.5000 0.0000
3 Ac 0.5000 0.5000 0.5000
4 Dy 0.0000 0.0000 0.2127

As for the symmetry: P4/mmm. The value obtained for the relative energy among the computed polymorphs is 0 meV per atom. The magnetic moment is 0.000 Bohr magnetons per cell. As for the formation energy: -210 meV/atom.